A relaxed Na3InHg5 crystal, computed with PBE-GGA.

Its energy of formation from the pure elements is -197.0 meV per atom. The calculation puts the density of states at the Fermi level at 6.58 states/eV/cell.

a = 9.2811 Å, b = 9.2811 Å, c = 6.2423 Å
α = 90.00°, β = 90.00°, γ = 120.00°
Space group P6_3/mcm (No. 193)
Unique sites:
Na: 0.0000 0.3675 0.2500 x6
In: 0.0000 0.0000 0.0000 x2
Hg: 0.0000 0.2996 0.7500 x6
Hg: 0.3333 0.6667 0.0000 x4

---

A relaxed LiYFe2 crystal, computed with PBE-GGA.

Its energy of formation from the pure elements is 257.6 meV per atom. The calculation puts the density of states at the Fermi level at 8.16 states/eV/cell.

a = 4.474 Å, b = 4.474 Å, c = 6.343 Å
α = 90.00°, β = 90.00°, γ = 90.00°
Space group I-4m2 (No. 119)
Unique sites:
Li: 0.000 0.000 0.000 x2
Y: 0.000 0.500 0.750 x2
Fe: 0.000 0.000 0.500 x2
Fe: 0.000 0.500 0.250 x2

---

A relaxed Pt3Cl5 crystal, computed with PBE-GGA.

The calculation puts the uncorrected formation energy at -0.158 eV/atom. The calculation puts the density of states at the Fermi level at 3.57 states/eV/cell.

a = 6.555 Å, b = 7.904 Å, c = 9.849 Å
α = 110.85°, β = 98.24°, γ = 91.17°
Space group P1 (No. 1)
Unique sites:
Pt: 0.000 0.000 0.000 x1
Pt: 0.031 0.493 0.012 x1
Pt: 0.134 0.431 0.497 x1
Pt: 0.629 0.697 0.121 x1
Pt: 0.685 0.249 0.386 x1
Pt: 0.899 0.770 0.740 x1
Cl: 0.089 0.194 0.890 x1
Cl: 0.206 0.628 0.740 x1
Cl: 0.351 0.544 0.157 x1
Cl: 0.431 0.291 0.533 x1
Cl: 0.593 0.940 0.331 x1
Cl: 0.604 0.909 0.721 x1
Cl: 0.681 0.451 0.915 x1
Cl: 0.813 0.561 0.479 x1
Cl: 0.964 0.802 0.118 x1
Cl: 0.976 0.232 0.261 x1